Entry 1:
LiMgTlBi | PBE | optimized geometry

Lattice parameters (Å, degrees): 5.2254 5.2254 5.2254 60.00 60.00 60.00
With the nearest neighbours (Å) after each atom.
Atoms (fractional coordinates):
Li (0.0000, 0.0000, 0.0000)  4 Tl 3.20, 4 Bi 3.20
Mg (0.5000, 0.5000, 0.5000)  4 Tl 3.20, 4 Bi 3.20
Tl (0.7500, 0.7500, 0.7500)  4 Li 3.20, 4 Mg 3.20
Bi (0.2500, 0.2500, 0.2500)  4 Li 3.20, 4 Mg 3.20

## Properties
As for the total DFT energy (no corrections): -10.7 eV for the cell shown.

=====

Entry 2:
YAlCd3 | PBE | optimized geometry

Lattice parameters (Å, degrees): 5.0828 5.0828 5.0828 90.00 90.00 90.00
With the nearest neighbours (Å) after each atom.
Atoms (fractional coordinates):
Y (0.0000, 0.0000, 0.0000)  12 Cd 3.59
Al (0.5000, 0.5000, 0.5000)  6 Cd 2.54
Cd (0.0000, 0.5000, 0.5000)  2 Al 2.54
Cd (0.5000, 0.0000, 0.5000)  2 Al 2.54
Cd (0.5000, 0.5000, 0.0000)  2 Al 2.54

## Properties
As for the total DFT energy (no corrections): -11.8 eV for the cell shown.

=====

Entry 3:
SrTiV2 | PBE | optimized geometry

Lattice parameters (Å, degrees): 4.9033 4.9033 4.9033 60.00 60.00 60.00
With the nearest neighbours (Å) after each atom.
Atoms (fractional coordinates):
Sr (0.0000, 0.0000, 0.0000)  8 V 3.00
Ti (0.5000, 0.5000, 0.5000)  8 V 3.00
V (0.2500, 0.2500, 0.2500)  4 Ti 3.00, 4 Sr 3.00
V (0.7500, 0.7500, 0.7500)  4 Sr 3.00, 4 Ti 3.00

## Properties
As for the total DFT energy (no corrections): -23.9 eV for the cell shown.

=====

Entry 4:
CoMoRu | PBE | optimized geometry

Lattice parameters (Å, degrees): 4.9641 4.9641 4.9641 129.47 115.64 86.08
With the nearest neighbours (Å) after each atom.
Atoms (fractional coordinates):
Co (0.1590, 0.1590, 0.0000)  1 Co 2.31, 2 Mo 2.43
Co (0.8410, 0.8410, 0.0000)  1 Co 2.31, 2 Mo 2.43
Mo (0.3232, 0.8232, 0.5000)  4 Co 2.43-2.65, 1 Mo 2.57, 2 Ru 2.69
Mo (0.6768, 0.1768, 0.5000)  4 Co 2.43-2.65, 1 Mo 2.57, 2 Ru 2.69
Ru (0.2490, 0.5000, 0.7490)  2 Ru 2.63-2.65, 6 Mo 2.69-2.81, 6 Co 2.75-2.81
Ru (0.7510, 0.5000, 0.2510)  2 Ru 2.63-2.65, 6 Mo 2.69-2.81, 6 Co 2.75-2.81

## Properties
As for the total DFT energy (no corrections): -53.8 eV for the cell shown.

=====

Entry 5:
PaMn2S4 | PBE | optimized geometry

Lattice parameters (Å, degrees): 7.0819 7.0819 7.0819 107.73 107.73 113.00
With the nearest neighbours (Å) after each atom.
Atoms (fractional coordinates):
Pa (0.3750, 0.6250, 0.7500)  8 S 2.68-2.94
Pa (0.6250, 0.3750, 0.2500)  8 S 2.68-2.94
Mn (0.0000, 0.0000, 0.0000)  6 S 2.45-2.63
Mn (0.0000, 0.0000, 0.5000)  6 S 2.45-2.63
Mn (0.0000, 0.5000, 0.0000)  6 S 2.45-2.63
Mn (0.5000, 0.0000, 0.5000)  6 S 2.45-2.63
S (0.1299, 0.6946, 0.4352)  3 Mn 2.45-2.63, 1 Pa 2.68
S (0.2406, 0.3054, 0.9352)  3 Mn 2.45-2.63, 1 Pa 2.68
S (0.3054, 0.2406, 0.4352)  3 Mn 2.45-2.63, 1 Pa 2.68
S (0.3054, 0.8701, 0.0648)  3 Mn 2.45-2.63, 1 Pa 2.68
S (0.6946, 0.1299, 0.9352)  3 Mn 2.45-2.63, 1 Pa 2.68
S (0.6946, 0.7594, 0.5648)  3 Mn 2.45-2.63, 1 Pa 2.68
S (0.7594, 0.6946, 0.0648)  3 Mn 2.45-2.63, 1 Pa 2.68
S (0.8701, 0.3054, 0.5648)  3 Mn 2.45-2.63, 1 Pa 2.68

## Properties
As for the raw formation energy: -0.991 eV/atom.

=====

Entry 6:
Li2GeH | PBE | optimized geometry

Lattice parameters (Å, degrees): 2.6783 2.6783 6.7691 90.00 90.00 90.00
With the nearest neighbours (Å) after each atom.
Atoms (fractional coordinates):
Li (0.0000, 0.0000, 0.1867)  4 H 2.28, 1 Li 2.53
Li (0.0000, 0.0000, 0.8133)  4 H 2.28, 1 Li 2.53
Ge (0.5000, 0.5000, 0.5000)  4 Ge 2.68, 8 Li 2.84
H (0.5000, 0.5000, 0.0000)  8 Li 2.28

## Properties
As for the total DFT energy (no corrections): -12.7 eV for the cell shown.